# Pm7TmIr4

Pm7TmIr4 after structural relaxation (PBE, Alexandria).

a b c (Å): 7.477 7.477 10.426
angles (deg): 123.58 123.58 42.59
Positions (direct):
1 Pm 0.000 0.000 0.000
2 Pm 0.165 0.165 0.622
3 Pm 0.292 0.292 0.127
4 Pm 0.406 0.406 0.624
5 Pm 0.594 0.594 0.376
6 Pm 0.708 0.708 0.873
7 Pm 0.835 0.835 0.378
8 Tm 0.500 0.500 0.000
9 Ir 0.065 0.065 0.785
10 Ir 0.202 0.202 0.321
11 Ir 0.798 0.798 0.679
12 Ir 0.935 0.935 0.215

volume = 317.4 Å³/f.u.
crystal system = monoclinic
formation enthalpy at 0 K = -283 meV per atom
symmetry = C2/m

# HfHgAs2N

HfHgAs2N after structural relaxation (PBE, Alexandria).

a b c (Å): 5.038 5.038 5.524
angles (deg): 90.00 90.00 90.00
Positions (direct):
1 Hf 0.000 0.000 0.000
2 Hg 0.000 0.000 0.500
3 As 0.000 0.500 0.500
4 As 0.500 0.000 0.500
5 N 0.500 0.500 0.000

volume = 140.2 Å³/f.u.
crystal system = tetragonal
formation energy without anion corrections = 2.10 eV/atom
symmetry = P4/mmm

# ZrHPb3

ZrHPb3 after structural relaxation (PBE, Alexandria).

a b c (Å): 4.841 4.841 4.841
angles (deg): 90.00 90.00 90.00
Positions (direct):
1 Zr 0.000 0.000 0.000
2 H 0.500 0.500 0.500
3 Pb 0.000 0.500 0.500
4 Pb 0.500 0.000 0.500
5 Pb 0.500 0.500 0.000

volume = 113.4 Å³/f.u.
energy above the most stable polymorph in this dataset = 0 kJ/mol of formula units
crystal system = cubic
symmetry = Pm-3m

> What is the formula in the second record?

HfHgAs2N